# 1
A plane-wave DFT calculation with PBE was carried out for a relaxed Pu2PbS crystal.

a b c (Å): 3.882 3.882 8.500
angles (deg): 76.80 76.80 60.00
Last column: magnetic moment on the atom in μB.
Fractional positions:
Pu (0.234, 0.234, 0.299)  5.41
Pu (0.766, 0.766, 0.701)  5.41
Pb (0.000, 0.000, 0.000)  -0.04
S (0.500, 0.500, 0.500)  -0.12

## Properties
Total moment: 11.43 μB/f.u.
ρ: 11.29 g/cm3
Symmetry: R-3m (166)
Formation energy from raw total energies: -0.818 eV per atom
Uncorrected energy: -39.8 eV/cell

=====

# 2
A plane-wave DFT calculation with PBE was carried out for a relaxed PrTlI2 crystal.

a b c (Å): 4.049 4.049 11.769
angles (deg): 80.10 80.10 60.00
Fractional positions:
I (0.103, 0.103, 0.692)
I (0.897, 0.897, 0.308)
Pr (0.500, 0.500, 0.500)
Tl (0.000, 0.000, 0.000)

## Properties
Total moment: 0.00 μB/f.u.
ρ: 6.08 g/cm3
Symmetry: R-3m (166)
Formation energy from raw total energies: -0.843 eV per atom
Uncorrected energy: -13.6 eV/cell

=====

# 3
A plane-wave DFT calculation with PBE was carried out for a relaxed CaLaNdSm crystal.

a b c (Å): 3.715 3.715 12.332
angles (deg): 90.00 90.00 120.00
Fractional positions:
La (0.333, 0.667, 0.938)
Sm (0.667, 0.333, 0.178)
Ca (0.667, 0.333, 0.671)
Nd (0.000, 0.000, 0.413)

## Properties
Total moment: 0.00 μB/f.u.
ρ: 5.34 g/cm3
Symmetry: P3m1 (156)
Uncorrected energy: -16.3 eV/cell

=====

# 4
A plane-wave DFT calculation with PBE was carried out for a relaxed Zr2ScZn2 crystal.

a b c (Å): 8.175 8.175 3.053
angles (deg): 90.00 90.00 90.00
Last column: magnetic moment on the atom in μB.
Fractional positions:
Zr (0.629, 0.129, 0.000)  0.11
Zr (0.371, 0.871, 0.000)  0.11
Zr (0.129, 0.371, 0.000)  0.11
Zr (0.871, 0.629, 0.000)  0.11
Sc (0.000, 0.000, 0.000)  0.44
Sc (0.500, 0.500, 0.000)  0.44
Zn (0.830, 0.330, 0.500)  0.00
Zn (0.170, 0.670, 0.500)  0.00
Zn (0.670, 0.830, 0.500)  0.00
Zn (0.330, 0.170, 0.500)  0.00

## Properties
Total moment: 0.92 μB/f.u.
ρ: 5.83 g/cm3
Symmetry: P4/mbm (127)
Uncorrected energy: -52.1 eV/cell